Entry 1:
Density functional theory data (PBE-GGA) for an optimized crystal structure of LaTmPa.

abc: 3.411 3.411 8.080
angles: 102.19 102.19 90.00
Positions (direct):
La 0.321 0.321 0.642
Pa 0.665 0.665 0.329
Tm 0.014 0.014 0.028

Output
ΔE to the lowest computed polymorph (eV per formula unit): 0.06
Crystal system: tetragonal
SG: I4mm (107)
Calculated formation energy (eV per atom): 0.152
Size of the total moment (μB/atom): 0.00



Entry 2:
Density functional theory data (PBE-GGA) for an optimized crystal structure of LaTmPa.

abc: 3.459 4.766 12.894
angles: 90.01 122.45 90.00
Positions (direct):
Tm 0.302 0.750 0.275
Tm 0.698 0.250 0.725
La 0.457 0.250 0.103
La 0.543 0.750 0.897
Pa 0.901 0.750 0.576
Pa 0.099 0.250 0.424

Output
ΔE to the lowest computed polymorph (eV per formula unit): 0.00
Crystal system: orthorhombic
SG: Pmmn (59)
Calculated formation energy (eV per atom): 0.132
Size of the total moment (μB/atom): 0.00



| no. | volume (Å³/atom) |
| --- | --- |
| 1 | 29.906 |
| 2 | 29.895 |